## Mn2Nb2In (PBE)

Data for a geometry-optimized Mn2Nb2In structure.

```
Mn2Nb2In
1.0
7.572 0.000 0.000
0.000 7.572 0.000
0.000 0.000 3.023
Mn Nb In
4 4 2
direct
0.139 0.361 0.000
0.361 0.861 0.000
0.639 0.139 0.000
0.861 0.639 0.000
0.147 0.647 0.500
0.353 0.147 0.500
0.647 0.853 0.500
0.853 0.353 0.500
0.000 0.000 0.500
0.500 0.500 0.500
```

mass density = 7.87 g cm⁻³
space-group type = No. 127
formation enthalpy at 0 K = 0.36 eV per atom
size of the total moment = 3.13 μB/f.u.